(1)
DFT (PBE) results for a geometry-optimized KHg2P structure.

Formation energy from the elements: 18.6 kJ per mole of atoms
DOS at the Fermi energy: 1.0 states/eV/f.u.

Unit cell a=3.4936 b=5.2909 c=5.6655 alpha=90.00 beta=90.00 gamma=90.00
With the nearest neighbours (Å) after each atom.
Space group Pmmm (No. 47)
Symmetry-distinct sites (fractional):
1 K 0.0000 0.0000 0.0000 [1 per cell]  4 Hg 3.17, 4 P 3.33, 2 K 3.49
2 Hg 0.0000 0.5000 0.5000 [1 per cell]  4 P 3.17, 6 Hg 3.33-3.49
3 Hg 0.5000 0.5000 0.0000 [1 per cell]  4 K 3.17, 6 Hg 3.33-3.49
4 P 0.5000 0.0000 0.5000 [1 per cell]  4 Hg 3.17, 4 K 3.33, 2 P 3.49

(2)
DFT (PBE) results for a geometry-optimized SnI6Br2 structure.

Raw formation energy: -0.21 eV per atom

Unit cell a=4.3437 b=9.1007 c=21.6423 alpha=90.00 beta=90.41 gamma=90.00
With the nearest neighbours (Å) after each atom.
Space group P2_1/c (No. 14)
Symmetry-distinct sites (fractional):
1 Sn 0.0000 0.0000 0.0000 [2 per cell]  2 Br 2.56
2 I 0.0006 0.2422 0.7497 [4 per cell]  2 I 2.92-2.94
3 I 0.1780 0.0095 0.3278 [4 per cell]  2 I 2.92-2.94
4 I 0.4960 0.0665 0.9079 [4 per cell]  2 Sn 3.01
5 Br 0.0021 0.2313 0.5348 [4 per cell]  1 Sn 2.56

What did the first record say?
DFT (PBE) results for a geometry-optimized KHg2P structure.

Formation energy from the elements: 18.6 kJ per mole of atoms
DOS at the Fermi energy: 1.0 states/eV/f.u.

Unit cell a=3.4936 b=5.2909 c=5.6655 alpha=90.00 beta=90.00 gamma=90.00
With the nearest neighbours (Å) after each atom.
Space group Pmmm (No. 47)
Symmetry-distinct sites (fractional):
1 K 0.0000 0.0000 0.0000 [1 per cell]  4 Hg 3.17, 4 P 3.33, 2 K 3.49
2 Hg 0.0000 0.5000 0.5000 [1 per cell]  4 P 3.17, 6 Hg 3.33-3.49
3 Hg 0.5000 0.5000 0.0000 [1 per cell]  4 K 3.17, 6 Hg 3.33-3.49
4 P 0.5000 0.0000 0.5000 [1 per cell]  4 Hg 3.17, 4 K 3.33, 2 P 3.49

> Number 1 is which compound?

KHg2P